# 1
A plane-wave DFT calculation with GGA-PBE was carried out for an optimized crystal structure of NdDyIr.

Values from the calculation:
- Energy of formation: 0.255 eV/atom
- Calculated volume: 308.6 Å³/cell

a b c (Å): 6.758 6.758 6.758
angles (deg): 90.00 90.00 90.00
Space group F-43m (No. 216)
Symmetry-distinct sites (fractional):
Nd1 0.000 0.000 0.000 [4 per cell]
Dy1 0.250 0.250 0.750 [4 per cell]
Ir1 0.250 0.250 0.250 [4 per cell]

=====

# 2
A plane-wave DFT calculation with GGA-PBE was carried out for an optimized crystal structure of KNbAgAu.

Values from the calculation:
- E above lowest polymorph: 16 kJ/mol of formula units
- Calculated volume: 320.1 Å³/cell

a b c (Å): 6.841 6.841 6.841
angles (deg): 90.00 90.00 90.00
Space group F-43m (No. 216)
Symmetry-distinct sites (fractional):
K1 0.000 0.000 0.000 [4 per cell]
Nb1 0.250 0.250 0.750 [4 per cell]
Ag1 0.250 0.250 0.250 [4 per cell]
Au1 0.000 0.000 0.500 [4 per cell]

=====

# 3
A plane-wave DFT calculation with GGA-PBE was carried out for an optimized crystal structure of Li2AlCd2SnPt2.

Values from the calculation:
- Calculated volume: 133.5 Å³/cell
- VASP energy: -3.70 eV per atom

a b c (Å): 4.532 4.532 6.501
angles (deg): 90.00 90.00 90.00
Space group P-4m2 (No. 115)
Symmetry-distinct sites (fractional):
Li1 0.000 0.500 0.235 [2 per cell]
Al1 0.500 0.500 0.000 [1 per cell]
Cd1 0.000 0.000 0.000 [1 per cell]
Cd2 0.500 0.500 0.500 [1 per cell]
Sn1 0.000 0.000 0.500 [1 per cell]
Pt1 0.000 0.500 0.768 [2 per cell]

=====

# 4
A plane-wave DFT calculation with GGA-PBE was carried out for an optimized crystal structure of Y2Ga3Mo4N3.

Values from the calculation:
- Calculated volume: 703.1 Å³/cell
- VASP energy: -8.14 eV per atom

a b c (Å): 9.554 5.550 13.658
angles (deg): 90.00 103.90 90.00
Space group C2/c (No. 15)
Symmetry-distinct sites (fractional):
Y1 0.043 0.083 0.384 [8 per cell]
Ga1 0.000 0.430 0.750 [4 per cell]
Ga2 0.241 0.155 0.750 [8 per cell]
Mo1 0.112 0.427 0.575 [8 per cell]
Mo2 0.218 0.414 0.924 [8 per cell]
N1 0.079 0.238 0.000 [8 per cell]
N2 0.250 0.250 0.500 [4 per cell]

=====

# 5
A plane-wave DFT calculation with GGA-PBE was carried out for an optimized crystal structure of CoPb.

Values from the calculation:
- Calculated volume: 36.6 Å³/cell
- VASP energy: -4.78 eV per atom

a b c (Å): 3.3092 3.3092 3.8600
angles (deg): 90.00 90.00 120.00
Space group P-6m2 (No. 187)
Symmetry-distinct sites (fractional):
Co1 0.0000 0.0000 0.0000 [1 per cell]
Pb1 0.6667 0.3333 0.5000 [1 per cell]

=====

# 6
A plane-wave DFT calculation with GGA-PBE was carried out for an optimized crystal structure of PrSn2PdPt.

Values from the calculation:
- Calculated volume: 228.1 Å³/cell
- VASP energy: -5.64 eV per atom

a b c (Å): 4.637 4.624 10.639
angles (deg): 90.00 90.83 90.00
Space group P2_1/m (No. 11)
Symmetry-distinct sites (fractional):
Pr1 0.242 0.250 0.245 [2 per cell]
Sn1 0.250 0.750 0.500 [2 per cell]
Sn2 0.269 0.250 0.875 [2 per cell]
Pd1 0.225 0.750 0.000 [2 per cell]
Pt1 0.254 0.250 0.629 [2 per cell]

=====

# 7
A plane-wave DFT calculation with GGA-PBE was carried out for an optimized crystal structure of Hf2In.

Values from the calculation:
- Calculated volume: 554.3 Å³/cell
- VASP energy: -7.27 eV per atom

a b c (Å): 8.214 8.214 8.214
angles (deg): 90.00 90.00 90.00
Space group Fd-3m (No. 227, origin choice 2)
Symmetry-distinct sites (fractional):
Hf1 0.000 0.000 0.000 [16 per cell]
In1 0.125 0.125 0.625 [8 per cell]

=====

# 8
A plane-wave DFT calculation with GGA-PBE was carried out for an optimized crystal structure of SmDyPd.

Values from the calculation:
- E above lowest polymorph: 0 kJ/mol of formula units
- Energy of formation: -0.442 eV/atom
- Calculated volume: 336.2 Å³/cell

a b c (Å): 6.953 6.953 6.953
angles (deg): 90.00 90.00 90.00
Space group F-43m (No. 216)
Symmetry-distinct sites (fractional):
Sm1 0.000 0.000 0.000 [4 per cell]
Dy1 0.000 0.000 0.500 [4 per cell]
Pd1 0.250 0.250 0.750 [4 per cell]

=====

# 9
A plane-wave DFT calculation with GGA-PBE was carried out for an optimized crystal structure of SmTaNi.

Values from the calculation:
- E above lowest polymorph: 0 kJ/mol of formula units
- Energy of formation: 0.483 eV/atom
- Calculated volume: 259.6 Å³/cell

a b c (Å): 6.380 6.380 6.380
angles (deg): 90.00 90.00 90.00
Space group F-43m (No. 216)
Symmetry-distinct sites (fractional):
Sm1 0.000 0.000 0.000 [4 per cell]
Ta1 0.000 0.000 0.500 [4 per cell]
Ni1 0.250 0.250 0.250 [4 per cell]

=====

# 10
A plane-wave DFT calculation with GGA-PBE was carried out for an optimized crystal structure of NaInNi.

Values from the calculation:
- Calculated volume: 252.9 Å³/cell
- VASP energy: -3.00 eV per atom

a b c (Å): 6.324 6.324 6.324
angles (deg): 90.00 90.00 90.00
Space group F-43m (No. 216)
Symmetry-distinct sites (fractional):
Na1 0.000 0.000 0.000 [4 per cell]
In1 0.000 0.000 0.500 [4 per cell]
Ni1 0.250 0.250 0.750 [4 per cell]

=====

# 11
A plane-wave DFT calculation with GGA-PBE was carried out for an optimized crystal structure of RbAgPdSe3.

Values from the calculation:
- E above lowest polymorph: 0 kJ/mol of formula units
- Calculated volume: 609.6 Å³/cell

a b c (Å): 14.206 3.993 10.748
angles (deg): 90.00 90.00 90.00
Space group Pnma (No. 62)
Symmetry-distinct sites (fractional):
Rb1 0.143 0.250 0.027 [4 per cell]
Ag1 0.189 0.750 0.291 [4 per cell]
Pd1 0.050 0.750 0.637 [4 per cell]
Se1 0.013 0.750 0.237 [4 per cell]
Se2 0.099 0.250 0.496 [4 per cell]
Se3 0.195 0.750 0.777 [4 per cell]

=====

# 12
A plane-wave DFT calculation with GGA-PBE was carried out for an optimized crystal structure of TcAg2Hg.

Values from the calculation:
- Energy of formation: 0.567 eV/atom
- Calculated volume: 281.8 Å³/cell

a b c (Å): 6.556 6.556 6.556
angles (deg): 90.00 90.00 90.00
Space group F-43m (No. 216)
Symmetry-distinct sites (fractional):
Tc1 0.000 0.000 0.000 [4 per cell]
Ag1 0.000 0.000 0.500 [4 per cell]
Ag2 0.250 0.250 0.750 [4 per cell]
Hg1 0.250 0.250 0.250 [4 per cell]

=====

Q: Which formula does entry 2 have?
A: KNbAgAu